5
Lattice="4.1562 0.0000 0.0000 0.0000 4.1562 0.0000 0.0000 0.0000 5.9878" Properties=species:S:1:pos:R:3 comment="MoAs2BrO | Alexandria | GGA+U | optimized geometry" dos_ef_per_ev_cell=2.6 magmom_total_mub_per_fu=3.11 dft_energy_ev_per_atom=-4.23 polymorph_energy_kj_per_mol_atoms=0.0 pbc="T T T"
Mo 2.0781 2.0781 2.9939
As 0.0000 2.0781 0.0000
Br 0.0000 0.0000 2.9939
As 2.0781 0.0000 0.0000
O 0.0000 0.0000 0.0000